Compound: CsNbRuO6
Source: Alexandria
Functional: GGA-PBE
Structure: optimized geometry

CIF file:
```
data_CsNbRuO6
_cell_length_a 5.424
_cell_length_b 5.424
_cell_length_c 6.490
_cell_angle_alpha 90.00
_cell_angle_beta 90.00
_cell_angle_gamma 60.00
_space_group_name_H-M_alt 'P 1'
_space_group_IT_number 1
_space_group_name_Hall 'P 1'
loop_
_atom_site_label
_atom_site_type_symbol
_atom_site_fract_x
_atom_site_fract_y
_atom_site_fract_z
Cs1 Cs 0.000 0.000 0.984
Nb1 Nb 0.667 0.667 0.482
Ru1 Ru 0.333 0.333 0.511
O1 O 0.015 0.434 0.322
O2 O 0.485 0.005 0.686
O3 O 0.510 0.485 0.686
O4 O 0.005 0.510 0.686
O5 O 0.434 0.551 0.322
O6 O 0.551 0.015 0.322
```

Computed properties:
- total magnetization (μB per formula unit) = 0.00
- crystal system = trigonal
- ΔE_f (raw) (meV per atom) = -1607

---

Compound: UCr4Mo
Source: Alexandria
Functional: GGA-PBE
Structure: optimized geometry

CIF file:
```
data_UCr4Mo
_cell_length_a 4.951
_cell_length_b 4.951
_cell_length_c 4.951
_cell_angle_alpha 60.00
_cell_angle_beta 60.00
_cell_angle_gamma 60.00
_space_group_name_H-M_alt 'P 1'
_space_group_IT_number 1
_space_group_name_Hall 'P 1'
loop_
_atom_site_label
_atom_site_type_symbol
_atom_site_fract_x
_atom_site_fract_y
_atom_site_fract_z
Cr1 Cr 0.625 0.625 0.125
Cr2 Cr 0.625 0.125 0.625
Cr3 Cr 0.625 0.625 0.625
Cr4 Cr 0.125 0.625 0.625
Mo1 Mo 0.000 0.000 0.000
U1 U 0.250 0.250 0.250
```

Computed properties:
- total magnetization (μB per formula unit) = 0.00
- E_form (kJ per mole of atoms) = 31
- crystal system = cubic

---

Compound: K2NaAgCl4
Source: Alexandria
Functional: GGA-PBE
Structure: optimized geometry

CIF file:
```
data_K2NaAgCl4
_cell_length_a 8.496
_cell_length_b 8.496
_cell_length_c 8.469
_cell_angle_alpha 119.71
_cell_angle_beta 119.71
_cell_angle_gamma 91.32
_space_group_name_H-M_alt 'P 1'
_space_group_IT_number 1
_space_group_name_Hall 'P 1'
loop_
_atom_site_label
_atom_site_type_symbol
_atom_site_fract_x
_atom_site_fract_y
_atom_site_fract_z
K1 K 0.500 0.000 0.000
K2 K 0.500 0.000 0.500
K3 K 0.000 0.000 0.500
K4 K 0.500 0.500 0.000
Na1 Na 0.500 0.500 0.500
Na2 Na 0.000 0.000 0.000
Ag1 Ag 0.000 0.500 0.000
Ag2 Ag 0.000 0.500 0.500
Cl1 Cl 0.214 0.731 0.975
Cl2 Cl 0.769 0.286 0.525
Cl3 Cl 0.231 0.714 0.475
Cl4 Cl 0.786 0.269 0.025
Cl5 Cl 0.755 0.746 0.980
Cl6 Cl 0.754 0.745 0.520
Cl7 Cl 0.246 0.255 0.480
Cl8 Cl 0.245 0.254 0.020
```

Computed properties:
- total magnetization (μB per formula unit) = 0.00
- crystal system = monoclinic
- ΔE_f (raw) (meV per atom) = -1514

---

Number 1: density 4.25 g cm⁻³, V 18.4 Å³ per atom. Number 2: density 10.48 g cm⁻³, V 14.3 Å³ per atom. Number 3: density 2.70 g cm⁻³, V 26.9 Å³ per atom.